Er3Si2Rh | PBE | optimized geometry

symmetry: Pnma
total energy: -147.8 eV for the cell shown
ρ: 8.3 g cm⁻³
energy relative to the elements, uncorrected: -5.07 eV/f.u.

Cell lengths 11.4399, 4.1498, 11.0775 Å; angles 90.00, 90.00, 90.00 degrees
With the nearest neighbours (Å) after each atom.
Fractional positions:
Er  0.0546  0.2500  0.1254  1 Rh 2.82, 5 Si 2.95-3.14
Er  0.1214  0.7500  0.5572  3 Rh 2.95-2.99, 5 Si 2.97-3.05
Er  0.2181  0.2500  0.8004  2 Rh 2.81, 4 Si 2.94-3.06
Er  0.2819  0.7500  0.3004  2 Rh 2.81, 4 Si 2.94-3.06
Er  0.3786  0.2500  0.0572  3 Rh 2.95-2.99, 5 Si 2.97-3.05
Er  0.4454  0.7500  0.6254  1 Rh 2.82, 5 Si 2.95-3.14
Er  0.5546  0.2500  0.3746  1 Rh 2.82, 5 Si 2.95-3.14
Er  0.6214  0.7500  0.9428  3 Rh 2.95-2.99, 5 Si 2.97-3.05
Er  0.7181  0.2500  0.6996  2 Rh 2.81, 4 Si 2.94-3.06
Er  0.7819  0.7500  0.1996  2 Rh 2.81, 4 Si 2.94-3.06
Er  0.8786  0.2500  0.4428  3 Rh 2.95-2.99, 5 Si 2.97-3.05
Er  0.9454  0.7500  0.8746  1 Rh 2.82, 5 Si 2.95-3.14
Si  0.0147  0.7500  0.3124  2 Rh 2.53
Si  0.1913  0.7500  0.0000  1 Rh 2.51
Si  0.3087  0.2500  0.5000  1 Rh 2.51
Si  0.4853  0.2500  0.8124  2 Rh 2.53
Si  0.5147  0.7500  0.1876  2 Rh 2.53
Si  0.6913  0.7500  0.5000  1 Rh 2.51
Si  0.8087  0.2500  0.0000  1 Rh 2.51
Si  0.9853  0.2500  0.6876  2 Rh 2.53
Rh  0.1300  0.2500  0.3680  3 Si 2.51-2.53, 2 Er 2.81
Rh  0.3700  0.7500  0.8680  3 Si 2.51-2.53, 2 Er 2.81
Rh  0.6300  0.2500  0.1320  3 Si 2.51-2.53, 2 Er 2.81
Rh  0.8700  0.7500  0.6320  3 Si 2.51-2.53, 2 Er 2.81